1.
# Dy2HoSn3Pd3 | OQMD via LeMat-Bulk | PBE-GGA | relaxed
data_Dy2HoSn3Pd3
_chemical_formula_sum 'Dy4 Ho2 Sn6 Pd6'
_cell_length_a 3.900
_cell_length_b 13.191
_cell_length_c 7.623
_cell_angle_alpha 90.00
_cell_angle_beta 90.00
_cell_angle_gamma 90.00
_space_group_name_H-M_alt 'A m m 2'
_space_group_IT_number 38
loop_
_space_group_symop_operation_xyz
'x,y,z'
'-x,-y,z'
'-x,y,z'
'x,-y,z'
'x,y+1/2,z+1/2'
'-x,-y+1/2,z+1/2'
'-x,y+1/2,z+1/2'
'x,-y+1/2,z+1/2'
loop_
_atom_site_label
_atom_site_type_symbol
_atom_site_fract_x
_atom_site_fract_y
_atom_site_fract_z
_atom_site_occupancy
Dy1 Dy 0.000 0.202 0.000 1
Ho1 Ho 0.000 0.000 0.395 1
Sn1 Sn 0.500 0.000 0.060 1
Sn2 Sn 0.500 0.131 0.667 1
Pd1 Pd 0.000 0.000 0.798 1
Pd2 Pd 0.500 0.166 0.299 1
# Spin magnetization in μB per formula unit: 0.00
# Uncorrected energy in eV/atom: -5.53
# Calculated density in kg/m3: 9869

2.
# ScCuSnTe3 | OQMD via LeMat-Bulk | PBE-GGA | relaxed
data_ScCuSnTe3
_chemical_formula_sum 'Sc4 Cu4 Sn4 Te12'
_cell_length_a 12.415
_cell_length_b 4.244
_cell_length_c 12.149
_cell_angle_alpha 90.00
_cell_angle_beta 90.00
_cell_angle_gamma 90.00
_space_group_name_H-M_alt 'P n m a'
_space_group_IT_number 62
loop_
_space_group_symop_operation_xyz
'x,y,z'
'-x,-y,-z'
'-x+1/2,-y,z+1/2'
'x+1/2,y,-z+1/2'
'x+1/2,-y+1/2,-z+1/2'
'-x+1/2,y+1/2,z+1/2'
'-x,y+1/2,-z'
'x,-y+1/2,z'
loop_
_atom_site_label
_atom_site_type_symbol
_atom_site_fract_x
_atom_site_fract_y
_atom_site_fract_z
_atom_site_occupancy
Sc1 Sc 0.037 0.250 0.185 1
Cu1 Cu 0.232 0.750 0.306 1
Sn1 Sn 0.198 0.250 0.468 1
Te1 Te 0.027 0.750 0.359 1
Te2 Te 0.093 0.250 0.935 1
Te3 Te 0.229 0.750 0.684 1
# Spin magnetization in μB per formula unit: 0.00
# Relative energy among the computed polymorphs in meV/atom: 64
# Calculated density in kg/m3: 6330

3.
# Li3Dy3Si2Sn | OQMD via LeMat-Bulk | PBE-GGA | relaxed
data_Li3Dy3Si2Sn
_chemical_formula_sum 'Li3 Dy3 Si2 Sn1'
_cell_length_a 7.0625
_cell_length_b 7.0625
_cell_length_c 4.3161
_cell_angle_alpha 90.00
_cell_angle_beta 90.00
_cell_angle_gamma 120.00
_space_group_name_H-M_alt 'P -6 2 m'
_space_group_IT_number 189
_space_group_name_Hall 'P -6 -2'
loop_
_atom_site_label
_atom_site_type_symbol
_atom_site_fract_x
_atom_site_fract_y
_atom_site_fract_z
_atom_site_occupancy
Li1 Li 0.0000 0.2410 0.0000 1
Dy1 Dy 0.0000 0.5527 0.5000 1
Si1 Si 0.3333 0.6667 0.0000 1
Sn1 Sn 0.0000 0.0000 0.5000 1
# Spin magnetization in μB per formula unit: 0.00
# Uncorrected energy in eV/atom: -4.45
# Calculated density in kg/m3: 6085

4.
# NaGaOsW | OQMD via LeMat-Bulk | PBE-GGA | relaxed
data_NaGaOsW
_chemical_formula_sum 'Na4 Ga4 Os4 W4'
_cell_length_a 6.247
_cell_length_b 6.247
_cell_length_c 6.247
_cell_angle_alpha 90.00
_cell_angle_beta 90.00
_cell_angle_gamma 90.00
_space_group_name_H-M_alt 'F -4 3 m'
_space_group_IT_number 216
_space_group_name_Hall 'F -4 2 3'
loop_
_atom_site_label
_atom_site_type_symbol
_atom_site_fract_x
_atom_site_fract_y
_atom_site_fract_z
_atom_site_occupancy
Na1 Na 0.000 0.000 0.000 1
Ga1 Ga 0.250 0.250 0.750 1
Os1 Os 0.000 0.000 0.500 1
W1 W 0.250 0.250 0.250 1
# Spin magnetization in μB per formula unit: 0.00
# Relative energy among the computed polymorphs in meV/atom: 0
# Calculated density in kg/m3: 12716

5.
# PaCu4Pt | OQMD via LeMat-Bulk | PBE-GGA | relaxed
data_PaCu4Pt
_chemical_formula_sum 'Pa4 Cu16 Pt4'
_cell_length_a 7.059
_cell_length_b 7.059
_cell_length_c 7.059
_cell_angle_alpha 90.00
_cell_angle_beta 90.00
_cell_angle_gamma 90.00
_space_group_name_H-M_alt 'F -4 3 m'
_space_group_IT_number 216
_space_group_name_Hall 'F -4 2 3'
loop_
_atom_site_label
_atom_site_type_symbol
_atom_site_fract_x
_atom_site_fract_y
_atom_site_fract_z
_atom_site_occupancy
Pa1 Pa 0.000 0.000 0.000 1
Cu1 Cu 0.124 0.124 0.376 1
Pt1 Pt 0.250 0.250 0.750 1
# DFT formation energy in eV per atom: -0.34
# Spin magnetization in μB per formula unit: 0.00
# Calculated density in kg/m3: 12848

6.
# PrB4Os | OQMD via LeMat-Bulk | PBE-GGA | relaxed
data_PrB4Os
_chemical_formula_sum 'Pr2 B8 Os2'
_cell_length_a 3.165
_cell_length_b 5.424
_cell_length_c 7.671
_cell_angle_alpha 90.00
_cell_angle_beta 90.00
_cell_angle_gamma 90.00
_space_group_name_H-M_alt 'I m m m'
_space_group_IT_number 71
_space_group_name_Hall '-I 2 2'
loop_
_atom_site_label
_atom_site_type_symbol
_atom_site_fract_x
_atom_site_fract_y
_atom_site_fract_z
_atom_site_occupancy
Pr1 Pr 0.000 0.000 0.000 1
B1 B 0.000 0.336 0.247 1
Os1 Os 0.000 0.000 0.500 1
# Spin magnetization in μB per formula unit: 0.19
# Relative energy among the computed polymorphs in meV/atom: 151
# Calculated density in kg/m3: 9441

7.
# PmCo12B6 | OQMD via LeMat-Bulk | PBE-GGA | relaxed
data_PmCo12B6
_chemical_formula_sum 'Pm3 Co36 B18'
_cell_length_a 9.4072
_cell_length_b 9.4072
_cell_length_c 7.4230
_cell_angle_alpha 90.00
_cell_angle_beta 90.00
_cell_angle_gamma 120.00
_space_group_name_H-M_alt 'R -3 m'
_space_group_IT_number 166
_space_group_name_Hall '-R 3 2"'
loop_
_atom_site_label
_atom_site_type_symbol
_atom_site_fract_x
_atom_site_fract_y
_atom_site_fract_z
_atom_site_occupancy
Pm1 Pm 0.0000 0.0000 0.0000 1
Co1 Co 0.0000 0.3670 0.5000 1
Co2 Co 0.0903 0.1806 0.3678 1
B1 B 0.0383 0.5192 0.2875 1
# Spin magnetization in μB per formula unit: 6.78
# Uncorrected energy in eV/atom: -7.19
# Calculated density in kg/m3: 8030

8.
# RbPrInTe3 | OQMD via LeMat-Bulk | PBE-GGA | relaxed
data_RbPrInTe3
_chemical_formula_sum 'Rb4 Pr4 In4 Te12'
_cell_length_a 12.474
_cell_length_b 5.329
_cell_length_c 13.590
_cell_angle_alpha 90.00
_cell_angle_beta 90.00
_cell_angle_gamma 90.00
_space_group_name_H-M_alt 'P n m a'
_space_group_IT_number 62
loop_
_space_group_symop_operation_xyz
'x,y,z'
'-x,-y,-z'
'-x+1/2,-y,z+1/2'
'x+1/2,y,-z+1/2'
'x+1/2,-y+1/2,-z+1/2'
'-x+1/2,y+1/2,z+1/2'
'-x,y+1/2,-z'
'x,-y+1/2,z'
loop_
_atom_site_label
_atom_site_type_symbol
_atom_site_fract_x
_atom_site_fract_y
_atom_site_fract_z
_atom_site_occupancy
Rb1 Rb 0.184 0.250 0.014 1
Pr1 Pr 0.024 0.250 0.321 1
In1 In 0.235 0.250 0.727 1
Te1 Te 0.042 0.750 0.168 1
Te2 Te 0.082 0.250 0.561 1
Te3 Te 0.212 0.750 0.808 1
# Spin magnetization in μB per formula unit: 0.00
# Uncorrected energy in eV/atom: -3.92
# Calculated density in kg/m3: 5324